TlCo3P5 | PBE | relaxed

The space group is P6/mmm (No. 191) and the conventional cell measures 4.8155, 4.8155 and 7.3632 Å, with angles of 90.00, 90.00 and 120.00 degrees. The inequivalent atoms are Tl at (0.0000, 0.0000, 0.0000), Co at (0.0000, 0.5000, 0.5000), P at (0.0000, 0.0000, 0.5000) and P at (0.3333, 0.6667, 0.2535).

The value obtained for the calculated total energy is -50.84 eV per cell. For the total moment, the calculation gives 0.5 μB/cell.


TmCo5P3 | PBE | relaxed

The space group is Pnma (No. 62) and the conventional cell measures 11.663, 3.617 and 10.221 Å, with angles of 90.00, 90.00 and 90.00 degrees. The inequivalent atoms are Tm at (0.203, 0.250, 0.083), Co at (0.008, 0.750, 0.717), Co at (0.013, 0.750, 0.093), Co at (0.069, 0.750, 0.468), Co at (0.177, 0.250, 0.779), Co at (0.199, 0.250, 0.383), P at (0.109, 0.750, 0.899), P at (0.113, 0.250, 0.582) and P at (0.130, 0.750, 0.269).

The value obtained for the calculated total energy is -255.55 eV per cell. For the total moment, the calculation gives 0.8 μB/cell.


Tm2Co2P | PBE | relaxed

The space group is Ibam (No. 72) and the conventional cell measures 5.698, 10.353 and 6.379 Å, with angles of 90.00, 90.00 and 90.00 degrees. The inequivalent atoms are Tm at (0.170, 0.148, 0.000), Co at (0.183, 0.404, 0.000) and P at (0.000, 0.500, 0.250).

The value obtained for the calculated total energy is -123.37 eV per cell. For the total moment, the calculation gives 0.0 μB/cell.


TmCoP2 | PBE | relaxed

The space group is I-42d (No. 122) and the conventional cell measures 4.436, 4.436 and 14.401 Å, with angles of 90.00, 90.00 and 90.00 degrees. The inequivalent atoms are Tm at (0.000, 0.000, 0.000), Co at (0.000, 0.000, 0.500) and P at (0.100, 0.750, 0.625).

The value obtained for the calculated total energy is -99.70 eV per cell. For the total moment, the calculation gives 0.0 μB/cell.


UCo2P2 | PBE | relaxed

The space group is P4/nmm (No. 129, origin choice 2) and the conventional cell measures 4.081, 4.081 and 8.670 Å, with angles of 90.00, 90.00 and 90.00 degrees. The inequivalent atoms are U at (0.250, 0.250, 0.219), Co at (0.250, 0.250, 0.848), Co at (0.250, 0.750, 0.000), P at (0.250, 0.250, 0.611) and P at (0.250, 0.750, 0.500).

The value obtained for the calculated total energy is -72.39 eV per cell. For the total moment, the calculation gives 2.2 μB/cell.


U3Co4P4 | PBE | relaxed

The space group is Immm (No. 71) and the conventional cell measures 3.893, 6.590 and 12.207 Å, with angles of 90.00, 90.00 and 90.00 degrees. The inequivalent atoms are U at (0.000, 0.000, 0.000), U at (0.000, 0.500, 0.105), Co at (0.000, 0.301, 0.317), P at (0.000, 0.000, 0.220) and P at (0.000, 0.230, 0.500).

The value obtained for the calculated total energy is -186.09 eV per cell. For the total moment, the calculation gives 4.8 μB/cell.


UCo2P2 | PBE | relaxed

The space group is P4/nmm (No. 129, origin choice 2) and the conventional cell measures 3.926, 3.926 and 8.899 Å, with angles of 90.00, 90.00 and 90.00 degrees. The inequivalent atoms are U at (0.250, 0.250, 0.247), Co at (0.250, 0.250, 0.886), Co at (0.250, 0.750, 0.500), P at (0.250, 0.250, 0.634) and P at (0.250, 0.750, 0.000).

The value obtained for the calculated total energy is -80.94 eV per cell. For the total moment, the calculation gives 4.3 μB/cell.


YCo3P2 | PBE | relaxed

The space group is Pmmn (No. 59, origin choice 2) and the conventional cell measures 3.689, 10.503 and 12.160 Å, with angles of 90.00, 90.00 and 90.00 degrees. The inequivalent atoms are Y at (0.250, 0.067, 0.206), Y at (0.250, 0.250, 0.478), Co at (0.250, 0.130, 0.710), Co at (0.250, 0.250, 0.014), Co at (0.250, 0.547, 0.431), Co at (0.250, 0.584, 0.995), Co at (0.250, 0.750, 0.159), Co at (0.250, 0.750, 0.703), P at (0.250, 0.098, 0.894), P at (0.250, 0.561, 0.616), P at (0.250, 0.750, 0.344) and P at (0.250, 0.750, 0.883).

The value obtained for the calculated total energy is -265.17 eV per cell. For the total moment, the calculation gives 4.4 μB/cell.


YCo5P3 | PBE | relaxed

The space group is Pnma (No. 62) and the conventional cell measures 11.716, 3.639 and 10.272 Å, with angles of 90.00, 90.00 and 90.00 degrees. The inequivalent atoms are Y at (0.203, 0.250, 0.083), Co at (0.009, 0.750, 0.716), Co at (0.012, 0.750, 0.093), Co at (0.068, 0.750, 0.468), Co at (0.177, 0.250, 0.779), Co at (0.198, 0.250, 0.382), P at (0.109, 0.750, 0.898), P at (0.112, 0.250, 0.582) and P at (0.130, 0.750, 0.271).

The value obtained for the calculated total energy is -262.96 eV per cell. For the total moment, the calculation gives 1.4 μB/cell.


ZrCo2P | PBE | relaxed

The space group is Pmc2_1 (No. 26) and the conventional cell measures 3.443, 6.936 and 4.594 Å, with angles of 90.00, 90.00 and 90.00 degrees. The inequivalent atoms are Zr at (0.000, 0.167, 0.000), Co at (0.000, 0.429, 0.573), Co at (0.500, 0.120, 0.491) and P at (0.500, 0.407, 0.280).

The value obtained for the calculated total energy is -59.99 eV per cell. For the total moment, the calculation gives 0.0 μB/cell.


ZrCo2P | PBE | relaxed

The space group is Pmn2_1 (No. 31) and the conventional cell measures 3.662, 5.760 and 5.066 Å, with angles of 90.00, 90.00 and 90.00 degrees. The inequivalent atoms are Zr at (0.000, 0.081, 0.000), Co at (0.000, 0.272, 0.510), Co at (0.000, 0.642, 0.720) and P at (0.000, 0.622, 0.251).

The value obtained for the calculated total energy is -60.97 eV per cell. For the total moment, the calculation gives 0.0 μB/cell.


ZrCo2P | PBE | relaxed

The space group is Pmmn (No. 59, origin choice 2) and the conventional cell measures 3.800, 5.093 and 5.472 Å, with angles of 90.00, 90.00 and 90.00 degrees. The inequivalent atoms are Zr at (0.250, 0.250, 0.104), Co at (0.250, 0.011, 0.639) and P at (0.250, 0.750, 0.296).

The value obtained for the calculated total energy is -62.01 eV per cell. For the total moment, the calculation gives 0.0 μB/cell.


Zr3CoP | PBE | relaxed

The space group is Cmcm (No. 63) and the conventional cell measures 3.497, 11.585 and 9.481 Å, with angles of 90.00, 90.00 and 90.00 degrees. The inequivalent atoms are Zr at (0.000, 0.083, 0.250), Zr at (0.000, 0.350, 0.078), Co at (0.000, 0.250, 0.750) and P at (0.000, 0.000, 0.000).

The value obtained for the calculated total energy is -165.94 eV per cell. For the total moment, the calculation gives 0.0 μB/cell.


ZrCo4P3 | PBE | relaxed

The space group is Pm (No. 6) and the conventional cell measures 5.042, 3.576 and 5.815 Å, with angles of 90.00, 90.30 and 90.00 degrees. The inequivalent atoms are Zr at (0.000, 0.000, 0.000), Co at (0.259, 0.000, 0.615), Co at (0.259, 0.500, 0.235), Co at (0.741, 0.500, 0.233), Co at (0.747, 0.000, 0.613), P at (0.001, 0.500, 0.538), P at (0.500, 0.000, 0.293) and P at (0.501, 0.500, 0.847).

The value obtained for the calculated total energy is -56.80 eV per cell. For the total moment, the calculation gives 0.0 μB/cell.


Zr2Co12P7 | PBE | relaxed

The space group is P-6 (No. 174) and the conventional cell measures 8.8849, 8.8849 and 3.5467 Å, with angles of 90.00, 90.00 and 120.00 degrees. The inequivalent atoms are Zr at (0.0000, 0.0000, 0.0000), Zr at (0.3333, 0.6667, 0.5000), Co at (0.0532, 0.7717, 0.5000), Co at (0.1030, 0.3963, 0.0000), Co at (0.3892, 0.2155, 0.0000), Co at (0.5379, 0.1085, 0.5000), P at (0.0774, 0.6267, 0.0000), P at (0.2616, 0.0449, 0.5000) and P at (0.6667, 0.3333, 0.0000).

The value obtained for the calculated total energy is -156.56 eV per cell. For the total moment, the calculation gives 0.0 μB/cell.


PaCo3 | PBE | relaxed

The space group is P6_3/mmc (No. 194) and the conventional cell measures 5.3690, 5.3690 and 4.3935 Å, with angles of 90.00, 90.00 and 120.00 degrees. The inequivalent atoms are Pa at (0.3333, 0.6667, 0.2500) and Co at (0.1565, 0.3131, 0.7500).

The value obtained for the calculated total energy is -64.00 eV per cell. As for the formation energy: -297 meV per atom. For the total moment, the calculation gives 2.9 μB/cell.


Pa3Co | PBE | relaxed

The space group is P6_3/mmc (No. 194) and the conventional cell measures 6.8405, 6.8405 and 4.1806 Å, with angles of 90.00, 90.00 and 120.00 degrees. The inequivalent atoms are Pa at (0.1772, 0.3545, 0.2500) and Co at (0.3333, 0.6667, 0.7500).

The value obtained for the calculated total energy is -70.17 eV per cell. As for the formation energy: 127 meV per atom. For the total moment, the calculation gives 0.0 μB/cell.


Pa2Co | PBE | relaxed

The space group is Fd-3m (No. 227, origin choice 2) and the conventional cell measures 10.981, 10.981 and 10.981 Å, with angles of 90.00, 90.00 and 90.00 degrees. The inequivalent atoms are Pa at (0.000, 0.000, 0.000) and Co at (0.125, 0.125, 0.125).

The value obtained for the calculated total energy is -166.79 eV per cell. As for the formation energy: 1750 meV per atom. For the total moment, the calculation gives 31.9 μB/cell.


PaCo3 | PBE | relaxed

The space group is I4/mmm (No. 139) and the conventional cell measures 3.790, 3.790 and 7.492 Å, with angles of 90.00, 90.00 and 90.00 degrees. The inequivalent atoms are Pa at (0.000, 0.000, 0.000), Co at (0.000, 0.000, 0.500) and Co at (0.000, 0.500, 0.250).

The value obtained for the calculated total energy is -63.46 eV per cell. As for the formation energy: -228 meV per atom. For the total moment, the calculation gives 1.2 μB/cell.